[1]
Density functional theory data (PBE) for a geometry-optimized CdFeBPd structure.

- Distance to the lowest polymorph of the same formula: 0.0000 eV per atom
- Spin magnetization: 0.60 μB per atom
- Theoretical density: 8.72 g cm⁻³

Unit cell a=6.014 b=6.014 c=6.014 alpha=90.00 beta=90.00 gamma=90.00
Space group F-43m (No. 216)
Asymmetric unit:
Cd: 0.000 0.000 0.000 x4
Fe: 0.250 0.250 0.750 x4
B: 0.000 0.000 0.500 x4
Pd: 0.250 0.250 0.250 x4

***

[2]
Density functional theory data (PBE) for a geometry-optimized TbH2 structure.

- Spin magnetization: 0.27 μB per atom
- E: -75.46 eV per cell
- Theoretical density: 7.54 g cm⁻³

Unit cell a=6.570 b=6.570 c=6.570 alpha=90.00 beta=90.00 gamma=90.00
Space group Fd-3m (No. 227, origin choice 2)
Asymmetric unit:
Tb: 0.125 0.125 0.125 x8
H: 0.000 0.000 0.500 x16

***

[3]
Density functional theory data (PBE) for a geometry-optimized Y2CoSe4 structure.

- Spin magnetization: 0.43 μB per atom
- E: -342.32 eV per cell
- Theoretical density: 4.93 g cm⁻³

Unit cell a=11.418 b=11.418 c=11.418 alpha=90.00 beta=90.00 gamma=90.00
Space group Fd-3m (No. 227, origin choice 2)
Asymmetric unit:
Y: 0.000 0.000 0.000 x16
Co: 0.125 0.125 0.625 x8
Se: 0.001 0.001 0.749 x32

***

[4]
Density functional theory data (PBE) for a geometry-optimized Gd2ZrAl3Cu2Ni structure.

- Spin magnetization: 0.00 μB per atom
- E: -92.71 eV per cell
- Theoretical density: 6.76 g cm⁻³

Unit cell a=3.939 b=12.164 c=6.895 alpha=90.00 beta=90.00 gamma=90.00
Space group Amm2 (No. 38)
Asymmetric unit:
Gd: 0.000 0.205 0.000 x4
Zr: 0.000 0.000 0.389 x2
Al: 0.500 0.000 0.035 x2
Al: 0.500 0.113 0.671 x4
Cu: 0.500 0.159 0.298 x4
Ni: 0.000 0.000 0.786 x2

***

[5]
Density functional theory data (PBE) for a geometry-optimized PrMoAs structure.

- Spin magnetization: 1.29 μB per atom
- E: -69.49 eV per cell
- Theoretical density: 6.11 g cm⁻³

Unit cell a=6.973 b=6.973 c=6.973 alpha=90.00 beta=90.00 gamma=90.00
Space group F-43m (No. 216)
Asymmetric unit:
Pr: 0.000 0.000 0.000 x4
Mo: 0.250 0.250 0.250 x4
As: 0.250 0.250 0.750 x4

***

[6]
Density functional theory data (PBE) for a geometry-optimized ZrCl structure.

- Spin magnetization: 0.00 μB per atom
- E: -43.13 eV per cell
- Theoretical density: 5.66 g cm⁻³

Unit cell a=5.298 b=5.298 c=5.298 alpha=90.00 beta=90.00 gamma=90.00
Space group Fm-3m (No. 225)
Asymmetric unit:
Zr: 0.000 0.000 0.000 x4
Cl: 0.000 0.000 0.500 x4

***

Q: Number 3 is which compound?
A: Y2CoSe4

***

Q: Look up the spin magnetization of the sixth one.
A: 0.00 μB per atom

***

Q: Number 4 is which compound?
A: Gd2ZrAl3Cu2Ni

***

Q: Among the records above, which one has the lowest theoretical density?
A: Y2CoSe4